1.
Material: PmSc2Tl
Method: DFT, PBE-GGA
State: relaxed

Calculated values
The value obtained for the energy relative to the lowest polymorph listed for this composition is 6.2 kJ per mole of atoms. Its formation energy is -0.12 eV/atom. The calculation puts the total energy at -5.07 eV per atom.

Cell and atoms, written as CIF:
```
data_PmSc2Tl
_cell_length_a 4.733
_cell_length_b 11.969
_cell_length_c 7.708
_cell_angle_alpha 90.00
_cell_angle_beta 90.00
_cell_angle_gamma 90.00
_symmetry_space_group_name_H-M 'C m c m'
_symmetry_Int_Tables_number 63
_symmetry_space_group_name_Hall '-C 2c 2'
loop_
_atom_site_label
_atom_site_type_symbol
_atom_site_fract_x
_atom_site_fract_y
_atom_site_fract_z
_atom_site_occupancy
Pm1 Pm 0.000 0.058 0.250 1
Sc1 Sc 0.000 0.369 0.045 1
Tl1 Tl 0.000 0.216 0.750 1
```

=====

2.
Material: CaPdRh2Pb
Method: DFT, PBE-GGA
State: relaxed

Calculated values
Its formation energy is 0.99 eV/atom. The calculation puts the total energy at -4.13 eV per atom.

Cell and atoms, written as CIF:
```
data_CaPdRh2Pb
_cell_length_a 4.948
_cell_length_b 4.948
_cell_length_c 5.682
_cell_angle_alpha 90.00
_cell_angle_beta 90.00
_cell_angle_gamma 90.00
_symmetry_space_group_name_H-M 'P 4/m m m'
_symmetry_Int_Tables_number 123
_symmetry_space_group_name_Hall '-P 4 2'
loop_
_atom_site_label
_atom_site_type_symbol
_atom_site_fract_x
_atom_site_fract_y
_atom_site_fract_z
_atom_site_occupancy
Ca1 Ca 0.000 0.000 0.000 1
Pd1 Pd 0.500 0.500 0.000 1
Rh1 Rh 0.000 0.500 0.500 1
Pb1 Pb 0.000 0.000 0.500 1
```

=====

| no. | magnetic moment (μB per formula unit) | mass density (Mg/m³) |
| --- | --- | --- |
| 1 | 0.00 | 6.682 |
| 2 | 0.00 | 6.679 |